# 1
Material: Ba4Cu3Si20
Method: DFT, PBEsol
State: optimized geometry

Cell: 10.267 10.267 10.267 Å, 90.00 90.00 90.00°
Fractional positions:
Ba 0.000 0.000 0.000
Ba 0.000 0.250 0.500
Ba 0.000 0.750 0.500
Ba 0.250 0.500 0.000
Ba 0.500 0.000 0.250
Ba 0.500 0.000 0.750
Ba 0.500 0.500 0.500
Ba 0.750 0.500 0.000
Cu 0.000 0.500 0.250
Cu 0.000 0.500 0.750
Cu 0.250 0.000 0.500
Cu 0.500 0.250 0.000
Cu 0.500 0.750 0.000
Cu 0.750 0.000 0.500
Si 0.000 0.313 0.120
Si 0.000 0.313 0.880
Si 0.000 0.687 0.120
Si 0.000 0.687 0.880
Si 0.120 0.000 0.313
Si 0.120 0.000 0.687
Si 0.184 0.184 0.184
Si 0.184 0.184 0.816
Si 0.184 0.816 0.184
Si 0.184 0.816 0.816
Si 0.187 0.500 0.380
Si 0.187 0.500 0.620
Si 0.313 0.120 0.000
Si 0.313 0.880 0.000
Si 0.316 0.316 0.316
Si 0.316 0.316 0.684
Si 0.316 0.684 0.316
Si 0.316 0.684 0.684
Si 0.380 0.187 0.500
Si 0.380 0.813 0.500
Si 0.500 0.380 0.187
Si 0.500 0.380 0.813
Si 0.500 0.620 0.187
Si 0.500 0.620 0.813
Si 0.620 0.187 0.500
Si 0.620 0.813 0.500
Si 0.684 0.316 0.316
Si 0.684 0.316 0.684
Si 0.684 0.684 0.316
Si 0.684 0.684 0.684
Si 0.687 0.120 0.000
Si 0.687 0.880 0.000
Si 0.813 0.500 0.380
Si 0.813 0.500 0.620
Si 0.816 0.184 0.184
Si 0.816 0.184 0.816
Si 0.816 0.816 0.184
Si 0.816 0.816 0.816
Si 0.880 0.000 0.313
Si 0.880 0.000 0.687

DOS at the Fermi energy in states/eV/atom: 0.298
Space group: Pm-3n (223)
Uncorrected formation energy in meV per atom: -254
Total magnetization in μB/f.u.: 0.000

# 2
Material: Cd3AgCl
Method: DFT, PBEsol
State: optimized geometry

Cell: 5.195 5.195 5.195 Å, 90.00 90.00 90.00°
Fractional positions:
Cd 0.000 0.000 0.500
Cd 0.000 0.500 0.000
Cd 0.500 0.000 0.000
Ag 0.000 0.000 0.000
Cl 0.500 0.500 0.500

DOS at the Fermi energy in states/eV/atom: 0.279
Space group: Pm-3m (221)
Energy above the lowest structure with this stoichiometry in meV per atom: 0
Uncorrected formation energy in meV per atom: 66
Total magnetization in μB/f.u.: 0.000

# 3
Material: Rb2TeSe2
Method: DFT, PBEsol
State: optimized geometry

Cell: 7.784 7.784 5.141 Å, 90.00 90.00 90.00°
Fractional positions:
Rb 0.153 0.347 0.000
Rb 0.347 0.847 0.000
Rb 0.653 0.153 0.000
Rb 0.847 0.653 0.000
Te 0.000 0.000 0.500
Te 0.500 0.500 0.500
Se 0.162 0.662 0.500
Se 0.338 0.162 0.500
Se 0.662 0.838 0.500
Se 0.838 0.338 0.500

DOS at the Fermi energy in states/eV/atom: 0.160
Space group: P4/mbm (127)
Uncorrected formation energy in meV per atom: -698
Total magnetization in μB/f.u.: 0.000

# 4
Material: CaTlCd4
Method: DFT, PBEsol
State: optimized geometry

Cell: 5.887 5.887 5.887 Å, 60.00 60.00 60.00°
Fractional positions:
Ca 0.000 0.000 0.000
Tl 0.750 0.750 0.750
Cd 0.375 0.375 0.375
Cd 0.375 0.375 0.876
Cd 0.375 0.876 0.375
Cd 0.876 0.375 0.375

DOS at the Fermi energy in states/eV/atom: 0.469
Space group: F-43m (216)
Formation enthalpy at 0 K in eV per atom: -0.1729
Total magnetization in μB/f.u.: 0.000

# 5
Material: ZrPt7
Method: DFT, PBEsol
State: optimized geometry

Cell: 5.596 5.596 5.596 Å, 60.00 60.00 60.00°
Fractional positions:
Zr 0.000 0.000 0.000
Pt 0.000 0.000 0.500
Pt 0.000 0.500 0.000
Pt 0.000 0.500 0.500
Pt 0.500 0.000 0.000
Pt 0.500 0.000 0.500
Pt 0.500 0.500 0.000
Pt 0.500 0.500 0.500

DOS at the Fermi energy in states/eV/atom: 1.116
Space group: Fm-3m (225)
Formation enthalpy at 0 K in eV per atom: -0.4930
Total magnetization in μB/f.u.: 0.000

# 6
Material: NiI2O
Method: DFT, PBEsol
State: optimized geometry

Cell: 6.418 6.418 6.418 Å, 90.00 90.00 90.00°
Fractional positions:
Ni 0.000 0.000 0.000
Ni 0.000 0.500 0.500
Ni 0.500 0.000 0.500
Ni 0.500 0.500 0.000
I 0.250 0.250 0.250
I 0.250 0.250 0.750
I 0.250 0.750 0.250
I 0.250 0.750 0.750
I 0.750 0.250 0.250
I 0.750 0.250 0.750
I 0.750 0.750 0.250
I 0.750 0.750 0.750
O 0.000 0.000 0.500
O 0.000 0.500 0.000
O 0.500 0.000 0.000
O 0.500 0.500 0.500

DOS at the Fermi energy in states/eV/atom: 0.743
Space group: Fm-3m (225)
Uncorrected formation energy in meV per atom: 637
Total magnetization in μB/f.u.: 0.000

# 7
Material: TcIr2Rh
Method: DFT, PBEsol
State: optimized geometry

Cell: 8.946 2.687 4.672 Å, 90.00 99.87 90.00°
Fractional positions:
Tc 0.000 0.000 0.000
Tc 0.500 0.500 0.000
Ir 0.247 0.500 0.248
Ir 0.253 0.000 0.752
Ir 0.747 0.000 0.248
Ir 0.753 0.500 0.752
Rh 0.000 0.500 0.500
Rh 0.500 0.000 0.500

DOS at the Fermi energy in states/eV/atom: 0.967
Space group: C2/m (12)
Formation enthalpy at 0 K in eV per atom: -0.1135
Energy above the lowest structure with this stoichiometry in meV per atom: 30
Total magnetization in μB/f.u.: 0.000

# 8
Material: La2CoMo2
Method: DFT, PBEsol
State: optimized geometry

Cell: 4.486 4.486 11.123 Å, 90.00 90.00 90.00°
Fractional positions:
La 0.000 0.500 0.250
La 0.000 0.500 0.750
La 0.500 0.000 0.250
La 0.500 0.000 0.750
Co 0.000 0.000 0.000
Co 0.500 0.500 0.500
Mo 0.000 0.000 0.401
Mo 0.000 0.000 0.599
Mo 0.500 0.500 0.099
Mo 0.500 0.500 0.901

DOS at the Fermi energy in states/eV/atom: 2.028
Space group: I4/mmm (139)
Formation enthalpy at 0 K in eV per atom: 1.5181
Total magnetization in μB/f.u.: 2.143